1.
{
  "formula": "Nd4HO5",
  "functional": "PBE",
  "state": "optimized geometry",
  "lattice": [[7.7146, 0.0000, 0.0000], [0.0000, 7.7238, 0.0000], [0.0000, 0.0000, 5.7945]],
  "species": ["Nd", "Nd", "Nd", "Nd", "Nd", "Nd", "Nd", "Nd", "H", "H", "O", "O", "O", "O", "O", "O", "O", "O", "O", "O"],
  "fractional_positions": [[0.0022, 0.2500, 0.0291], [0.2500, 0.0003, 0.5216], [0.2500, 0.4997, 0.5216], [0.4978, 0.2500, 0.0291], [0.5022, 0.7500, 0.9709], [0.7500, 0.9997, 0.4784], [0.7500, 0.5003, 0.4784], [0.9978, 0.7500, 0.9709], [0.2500, 0.2500, 0.2655], [0.7500, 0.7500, 0.7345], [0.0230, 0.5314, 0.2502], [0.0230, 0.9686, 0.2502], [0.2500, 0.7500, 0.7519], [0.4770, 0.5314, 0.2502], [0.4770, 0.9686, 0.2502], [0.5230, 0.0314, 0.7498], [0.5230, 0.4686, 0.7498], [0.7500, 0.2500, 0.2481], [0.9770, 0.0314, 0.7498], [0.9770, 0.4686, 0.7498]],
  "sg": "Pmmn (59)",
  "rho_g_cm3": 6.33,
  "magnetic_moment_mub_per_atom": 0.100,
  "n_ef_per_ev_fu": 0.8,
  "final_energy_ev_per_atom": -7.497
}


2.
{
  "formula": "NdHO",
  "functional": "PBE",
  "state": "optimized geometry",
  "lattice": [[3.7806, 0.0000, 0.0000], [-1.8903, 3.2741, 0.0000], [0.0000, 0.0000, 5.0581]],
  "species": ["Nd", "H", "O"],
  "fractional_positions": [[0.0000, 0.0000, 0.0000], [0.6667, 0.3333, 0.2434], [0.3333, 0.6667, 0.8723]],
  "sg": "P3m1 (156)",
  "rho_g_cm3": 4.28,
  "magnetic_moment_mub_per_atom": 0.000,
  "de_polymorph_mev_per_atom": 328,
  "n_ef_per_ev_fu": 0.0,
  "final_energy_ev_per_atom": -6.189
}


3.
{
  "formula": "Nd4H2O",
  "functional": "PBE",
  "state": "optimized geometry",
  "lattice": [[4.9015, 0.0000, 0.0000], [0.0000, 4.9015, 0.0000], [0.0000, 0.0000, 11.8055]],
  "species": ["Nd", "Nd", "Nd", "Nd", "Nd", "Nd", "Nd", "Nd", "H", "H", "H", "H", "O", "O"],
  "fractional_positions": [[0.0000, 0.0000, 0.2279], [0.0000, 0.0000, 0.7721], [0.0000, 0.5000, 0.0000], [0.0000, 0.5000, 0.5000], [0.5000, 0.0000, 0.0000], [0.5000, 0.0000, 0.5000], [0.5000, 0.5000, 0.2721], [0.5000, 0.5000, 0.7279], [0.0000, 0.0000, 0.4206], [0.0000, 0.0000, 0.5794], [0.5000, 0.5000, 0.0794], [0.5000, 0.5000, 0.9206], [0.0000, 0.0000, 0.0000], [0.5000, 0.5000, 0.5000]],
  "sg": "I4/mmm (139)",
  "rho_g_cm3": 6.97,
  "magnetic_moment_mub_per_atom": 0.000,
  "n_ef_per_ev_fu": 5.5,
  "final_energy_ev_per_atom": -5.271
}


4.
{
  "formula": "Nd2H3O",
  "functional": "PBE",
  "state": "optimized geometry",
  "lattice": [[5.5391, 0.0000, 0.0000], [0.0000, 5.5391, 0.0000], [0.0000, 0.0000, 5.5391]],
  "species": ["Nd", "Nd", "Nd", "Nd", "H", "H", "H", "H", "H", "H", "O", "O"],
  "fractional_positions": [[0.0000, 0.0000, 0.0000], [0.0000, 0.5000, 0.5000], [0.5000, 0.0000, 0.5000], [0.5000, 0.5000, 0.0000], [0.2500, 0.2500, 0.7500], [0.2500, 0.7500, 0.2500], [0.2500, 0.7500, 0.7500], [0.7500, 0.2500, 0.2500], [0.7500, 0.2500, 0.7500], [0.7500, 0.7500, 0.2500], [0.2500, 0.2500, 0.2500], [0.7500, 0.7500, 0.7500]],
  "sg": "Pn-3m (224)",
  "rho_g_cm3": 6.01,
  "magnetic_moment_mub_per_atom": 0.000,
  "n_ef_per_ev_fu": 1.3,
  "final_energy_ev_per_atom": -5.423
}


5.
{
  "formula": "NdH2OsO6",
  "functional": "PBE",
  "state": "optimized geometry",
  "lattice": [[5.1308, 0.0000, 0.0000], [2.3440, 4.6861, 0.0000], [2.3949, 1.5359, 5.1171]],
  "species": ["Nd", "H", "H", "Os", "O", "O", "O", "O", "O", "O"],
  "fractional_positions": [[0.0000, 0.0000, 0.0000], [0.2167, 0.3745, 0.3009], [0.9539, 0.6945, 0.6903], [0.5316, 0.4855, 0.4903], [0.1149, 0.7251, 0.7150], [0.2739, 0.5495, 0.2537], [0.3925, 0.1748, 0.6907], [0.5436, 0.8480, 0.2689], [0.7218, 0.4426, 0.7148], [0.8723, 0.2738, 0.2871]],
  "sg": "P1 (1)",
  "rho_g_cm3": 5.84,
  "magnetic_moment_mub_per_atom": 0.102,
  "n_ef_per_ev_fu": 1.6,
  "final_energy_ev_per_atom": -6.800
}


6.
{
  "formula": "Nd2P3H5O10",
  "functional": "PBE",
  "state": "optimized geometry",
  "lattice": [[9.6449, 0.0000, 0.0000], [0.0000, 8.1110, 0.0000], [-5.3868, 0.0000, 12.4874]],
  "species": ["Nd", "Nd", "Nd", "Nd", "Nd", "Nd", "Nd", "Nd", "P", "P", "P", "P", "P", "P", "P", "P", "P", "P", "P", "P", "H", "H", "H", "H", "H", "H", "H", "H", "H", "H", "H", "H", "H", "H", "H", "H", "H", "H", "H", "H", "O", "O", "O", "O", "O", "O", "O", "O", "O", "O", "O", "O", "O", "O", "O", "O", "O", "O", "O", "O", "O", "O", "O", "O", "O", "O", "O", "O", "O", "O", "O", "O", "O", "O", "O", "O", "O", "O", "O", "O"],
  "fractional_positions": [[0.0905, 0.2107, 0.4618], [0.0905, 0.2893, 0.9618], [0.3176, 0.0795, 0.2668], [0.3176, 0.4205, 0.7668], [0.6824, 0.5795, 0.2332], [0.6824, 0.9205, 0.7332], [0.9095, 0.7107, 0.0382], [0.9095, 0.7893, 0.5382], [0.0428, 0.6131, 0.3298], [0.0428, 0.8869, 0.8298], [0.2682, 0.6923, 0.1025], [0.2682, 0.8077, 0.6025], [0.4449, 0.2484, 0.5538], [0.4449, 0.2516, 0.0538], [0.5551, 0.7484, 0.9462], [0.5551, 0.7516, 0.4462], [0.7318, 0.1923, 0.3975], [0.7318, 0.3077, 0.8975], [0.9572, 0.1131, 0.1702], [0.9572, 0.3869, 0.6702], [0.1448, 0.7403, 0.3356], [0.1448, 0.7597, 0.8356], [0.2714, 0.0776, 0.8283], [0.2714, 0.4224, 0.3283], [0.3069, 0.7351, 0.5227], [0.3069, 0.7649, 0.0227], [0.3590, 0.0353, 0.7513], [0.3590, 0.4647, 0.2513], [0.4995, 0.1116, 0.0197], [0.4995, 0.3884, 0.5197], [0.5005, 0.6116, 0.4803], [0.5005, 0.8884, 0.9803], [0.6410, 0.5353, 0.7487], [0.6410, 0.9647, 0.2487], [0.6931, 0.2351, 0.9773], [0.6931, 0.2649, 0.4773], [0.7286, 0.5776, 0.6717], [0.7286, 0.9224, 0.1717], [0.8552, 0.2403, 0.1644], [0.8552, 0.2597, 0.6644], [0.0584, 0.1667, 0.1120], [0.0584, 0.3333, 0.6120], [0.0640, 0.0892, 0.2897], [0.0640, 0.4108, 0.7897], [0.1365, 0.0410, 0.8795], [0.1365, 0.4590, 0.3795], [0.1425, 0.5623, 0.0468], [0.1425, 0.9377, 0.5468], [0.1935, 0.6728, 0.6456], [0.1935, 0.8272, 0.1456], [0.3359, 0.1901, 0.1051], [0.3359, 0.3099, 0.6051], [0.3404, 0.1222, 0.7964], [0.3404, 0.3778, 0.2964], [0.3412, 0.1534, 0.4521], [0.3412, 0.3466, 0.9521], [0.4122, 0.6140, 0.1837], [0.4122, 0.8860, 0.6837], [0.4181, 0.6548, 0.8712], [0.4181, 0.8452, 0.3712], [0.5819, 0.1548, 0.6288], [0.5819, 0.3452, 0.1288], [0.5878, 0.1140, 0.3163], [0.5878, 0.3860, 0.8163], [0.6588, 0.6534, 0.0479], [0.6588, 0.8466, 0.5479], [0.6596, 0.6222, 0.7036], [0.6596, 0.8778, 0.2036], [0.6641, 0.6901, 0.3949], [0.6641, 0.8099, 0.8949], [0.8065, 0.1728, 0.8544], [0.8065, 0.3272, 0.3544], [0.8575, 0.0623, 0.4532], [0.8575, 0.4377, 0.9532], [0.8635, 0.5410, 0.6205], [0.8635, 0.9590, 0.1205], [0.9360, 0.5892, 0.2103], [0.9360, 0.9108, 0.7103], [0.9416, 0.6667, 0.3880], [0.9416, 0.8333, 0.8880]],
  "sg": "P2_1/c (14)",
  "rho_g_cm3": 3.72,
  "magnetic_moment_mub_per_atom": 0.000,
  "n_ef_per_ev_fu": 0.0,
  "final_energy_ev_per_atom": -6.702
}


7.
{
  "formula": "NdP3H6O12",
  "functional": "PBE",
  "state": "optimized geometry",
  "lattice": [[6.7715, 0.0000, 0.0000], [-3.3857, 5.8643, 0.0000], [0.0000, 0.0000, 6.1351]],
  "species": ["Nd", "P", "P", "P", "H", "H", "H", "H", "H", "H", "O", "O", "O", "O", "O", "O", "O", "O", "O", "O", "O", "O"],
  "fractional_positions": [[0.0000, 0.0000, 0.0000], [0.1116, 0.7255, 0.5000], [0.2745, 0.3860, 0.5000], [0.6140, 0.8884, 0.5000], [0.4870, 0.0410, 0.1258], [0.4870, 0.0410, 0.8742], [0.5540, 0.5130, 0.1258], [0.5540, 0.5130, 0.8742], [0.9590, 0.4460, 0.1258], [0.9590, 0.4460, 0.8742], [0.0122, 0.7446, 0.2884], [0.0122, 0.7446, 0.7116], [0.0968, 0.4795, 0.5000], [0.2554, 0.2676, 0.2884], [0.2554, 0.2676, 0.7116], [0.3827, 0.9032, 0.5000], [0.3972, 0.0389, 0.0000], [0.5205, 0.6173, 0.5000], [0.6417, 0.6028, 0.0000], [0.7324, 0.9878, 0.2884], [0.7324, 0.9878, 0.7116], [0.9611, 0.3583, 0.0000]],
  "sg": "P-6 (174)",
  "rho_g_cm3": 2.97,
  "magnetic_moment_mub_per_atom": 0.000,
  "n_ef_per_ev_fu": 0.0,
  "final_energy_ev_per_atom": -6.466
}


8.
{
  "formula": "NdP3H10O14",
  "functional": "PBE",
  "state": "optimized geometry",
  "lattice": [[7.8618, 0.0000, 0.0000], [0.0000, 11.7177, 0.0000], [-4.0373, 0.0000, 13.3887]],
  "species": ["Nd", "Nd", "Nd", "Nd", "P", "P", "P", "P", "P", "P", "P", "P", "P", "P", "P", "P", "H", "H", "H", "H", "H", "H", "H", "H", "H", "H", "H", "H", "H", "H", "H", "H", "H", "H", "H", "H", "H", "H", "H", "H", "H", "H", "H", "H", "H", "H", "H", "H", "H", "H", "H", "H", "H", "H", "H", "H", "O", "O", "O", "O", "O", "O", "O", "O", "O", "O", "O", "O", "O", "O", "O", "O", "O", "O", "O", "O", "O", "O", "O", "O", "O", "O", "O", "O", "O", "O", "O", "O", "O", "O", "O", "O", "O", "O", "O", "O", "O", "O", "O", "O", "O", "O", "O", "O", "O", "O", "O", "O", "O", "O", "O", "O"],
  "fractional_positions": [[0.1873, 0.2317, 0.3417], [0.1873, 0.2683, 0.8417], [0.8127, 0.7317, 0.1583], [0.8127, 0.7683, 0.6583], [0.0330, 0.7502, 0.4449], [0.0330, 0.7498, 0.9449], [0.2479, 0.5432, 0.9951], [0.2479, 0.9568, 0.4951], [0.4053, 0.7462, 0.9331], [0.4053, 0.7538, 0.4331], [0.5947, 0.2462, 0.5669], [0.5947, 0.2538, 0.0669], [0.7521, 0.0432, 0.5049], [0.7521, 0.4568, 0.0049], [0.9670, 0.2502, 0.0551], [0.9670, 0.2498, 0.5551], [0.0129, 0.5536, 0.6424], [0.0129, 0.9464, 0.1424], [0.0794, 0.0020, 0.7789], [0.0794, 0.4980, 0.2789], [0.1602, 0.5889, 0.1655], [0.1602, 0.9111, 0.6655], [0.2011, 0.6634, 0.2616], [0.2011, 0.8366, 0.7616], [0.2906, 0.5513, 0.5449], [0.2906, 0.9487, 0.0449], [0.3433, 0.0669, 0.2114], [0.3433, 0.4331, 0.7114], [0.3721, 0.0726, 0.0543], [0.3721, 0.4274, 0.5543], [0.4817, 0.0670, 0.3206], [0.4817, 0.4330, 0.8206], [0.4833, 0.1943, 0.7459], [0.4833, 0.3057, 0.2459], [0.4843, 0.0978, 0.8267], [0.4843, 0.4022, 0.3267], [0.5157, 0.5978, 0.6733], [0.5157, 0.9022, 0.1733], [0.5167, 0.6943, 0.7541], [0.5167, 0.8057, 0.2541], [0.5183, 0.5670, 0.1794], [0.5183, 0.9330, 0.6794], [0.6279, 0.5726, 0.4457], [0.6279, 0.9274, 0.9457], [0.6567, 0.5669, 0.2886], [0.6567, 0.9331, 0.7886], [0.7094, 0.0513, 0.9551], [0.7094, 0.4487, 0.4551], [0.7989, 0.1634, 0.2384], [0.7989, 0.3366, 0.7384], [0.8398, 0.0889, 0.3345], [0.8398, 0.4111, 0.8345], [0.9206, 0.5020, 0.7211], [0.9206, 0.9980, 0.2211], [0.9871, 0.0536, 0.8576], [0.9871, 0.4464, 0.3576], [0.0241, 0.2127, 0.9667], [0.0241, 0.2873, 0.4667], [0.0663, 0.6133, 0.9456], [0.0663, 0.8867, 0.4456], [0.0702, 0.0711, 0.8198], [0.0702, 0.4289, 0.3198], [0.0746, 0.2194, 0.1585], [0.0746, 0.2806, 0.6585], [0.1014, 0.6181, 0.2160], [0.1014, 0.8819, 0.7160], [0.2226, 0.0727, 0.4499], [0.2226, 0.4273, 0.9499], [0.2375, 0.7009, 0.4660], [0.2375, 0.7991, 0.9660], [0.3025, 0.5551, 0.1066], [0.3025, 0.9449, 0.6066], [0.3534, 0.0057, 0.0934], [0.3534, 0.4943, 0.5934], [0.3577, 0.0866, 0.2818], [0.3577, 0.4134, 0.7818], [0.3794, 0.7346, 0.3239], [0.3794, 0.7654, 0.8239], [0.3894, 0.6114, 0.9519], [0.3894, 0.8886, 0.4519], [0.4120, 0.1587, 0.7858], [0.4120, 0.3413, 0.2858], [0.4294, 0.2063, 0.9941], [0.4294, 0.2937, 0.4941], [0.5706, 0.7063, 0.5059], [0.5706, 0.7937, 0.0059], [0.5880, 0.6587, 0.7142], [0.5880, 0.8413, 0.2142], [0.6106, 0.1114, 0.5481], [0.6106, 0.3886, 0.0481], [0.6206, 0.2346, 0.1761], [0.6206, 0.2654, 0.6761], [0.6423, 0.5866, 0.2182], [0.6423, 0.9134, 0.7182], [0.6466, 0.5057, 0.4066], [0.6466, 0.9943, 0.9066], [0.6975, 0.0551, 0.3934], [0.6975, 0.4449, 0.8934], [0.7625, 0.2009, 0.0340], [0.7625, 0.2991, 0.5340], [0.7774, 0.5727, 0.0501], [0.7774, 0.9273, 0.5501], [0.8986, 0.1181, 0.2840], [0.8986, 0.3819, 0.7840], [0.9254, 0.7194, 0.3415], [0.9254, 0.7806, 0.8415], [0.9298, 0.5711, 0.6802], [0.9298, 0.9289, 0.1802], [0.9337, 0.1133, 0.5544], [0.9337, 0.3867, 0.0544], [0.9759, 0.7127, 0.5333], [0.9759, 0.7873, 0.0333]],
  "sg": "P2_1/c (14)",
  "rho_g_cm3": 2.54,
  "magnetic_moment_mub_per_atom": 0.000,
  "n_ef_per_ev_fu": 0.0,
  "final_energy_ev_per_atom": -6.144
}


9.
{
  "formula": "Nd2HPbO",
  "functional": "PBE",
  "state": "optimized geometry",
  "lattice": [[3.9075, 0.0000, 0.0000], [0.0000, 3.9075, 0.0000], [0.0000, 0.0000, 13.8068]],
  "species": ["Nd", "Nd", "Nd", "Nd", "H", "H", "Pb", "Pb", "O", "O"],
  "fractional_positions": [[0.0000, 0.0000, 0.1547], [0.0000, 0.0000, 0.8453], [0.5000, 0.5000, 0.3453], [0.5000, 0.5000, 0.6547], [0.0000, 0.5000, 0.7500], [0.5000, 0.0000, 0.2500], [0.0000, 0.0000, 0.5000], [0.5000, 0.5000, 0.0000], [0.0000, 0.5000, 0.2500], [0.5000, 0.0000, 0.7500]],
  "sg": "I-4m2 (119)",
  "rho_g_cm3": 8.08,
  "magnetic_moment_mub_per_atom": 0.000,
  "n_ef_per_ev_fu": 2.4,
  "final_energy_ev_per_atom": -5.862
}


10.
{
  "formula": "Nd2HRhO6",
  "functional": "PBE",
  "state": "optimized geometry",
  "lattice": [[4.8476, -2.5852, 0.0000], [4.8476, 2.5852, 0.0000], [-2.8362, 0.0000, 4.5959]],
  "species": ["Nd", "Nd", "H", "Rh", "O", "O", "O", "O", "O", "O"],
  "fractional_positions": [[0.2419, 0.2419, 0.2254], [0.7581, 0.7581, 0.7746], [0.5000, 0.5000, 0.0000], [0.0000, 0.0000, 0.5000], [0.2092, 0.6900, 0.1901], [0.2352, 0.2352, 0.6487], [0.3100, 0.7908, 0.8099], [0.6900, 0.2092, 0.1901], [0.7648, 0.7648, 0.3513], [0.7908, 0.3100, 0.8099]],
  "sg": "C2/m (12)",
  "rho_g_cm3": 7.04,
  "magnetic_moment_mub_per_atom": 0.198,
  "n_ef_per_ev_fu": 4.7,
  "final_energy_ev_per_atom": -6.714
}